DyFeCoP2: relaxed, PBE.

Properties
Total DFT energy (no corrections) = -0.52709 Ry/atom
Spin magnetization = 0.2 μB per formula unit

a b c (Å): 5.451 5.451 5.451
angles (deg): 139.35 139.35 58.85
Atoms (fractional coordinates):
Dy: 0.000 0.000 0.000
Fe: 0.250 0.750 0.500
Co: 0.750 0.250 0.500
P: 0.373 0.373 0.000
P: 0.627 0.627 0.000

=====

Dy2FeCoSi2: relaxed, PBE.

Properties
Total DFT energy (no corrections) = -0.48686 Ry/atom
Spin magnetization = 0.0 μB per formula unit

a b c (Å): 3.972 3.972 6.601
angles (deg): 90.00 90.00 90.00
Atoms (fractional coordinates):
Dy: 0.000 0.500 0.182
Dy: 0.500 0.000 0.818
Fe: 0.000 0.000 0.500
Co: 0.500 0.500 0.500
Si: 0.000 0.500 0.684
Si: 0.500 0.000 0.316

=====

DyFeCoSi2: relaxed, PBE.

Properties
Total DFT energy (no corrections) = -0.51039 Ry/atom
Spin magnetization = 0.0 μB per formula unit

a b c (Å): 5.534 5.534 5.534
angles (deg): 138.60 138.60 59.98
Atoms (fractional coordinates):
Dy: 0.000 0.000 0.000
Fe: 0.750 0.250 0.500
Co: 0.250 0.750 0.500
Si: 0.368 0.368 0.000
Si: 0.632 0.632 0.000